No. 1
First-principles (GGA-PBE) data for an optimized crystal structure of Al2AgSe, as listed in the Alexandria database.

Properties
As for the space group: No. 166. Its uncorrected formation energy is -0.16 eV per atom. The total energy comes out at -3.6153 eV per atom.

Unit cell a=7.4753 b=7.4753 c=7.4753 alpha=26.95 beta=26.95 gamma=26.95
Positions (direct):
Al  0.9983  0.9983  0.9983
Ag  0.7500  0.7500  0.7500
Al  0.5017  0.5017  0.5017
Se  0.2500  0.2500  0.2500

---

No. 2
First-principles (GGA-PBE) data for an optimized crystal structure of Al4AgSe, as listed in the Alexandria database.

Properties
As for the space group: No. 216. Its uncorrected formation energy is 0.23 eV per atom. The total energy comes out at -3.3174 eV per atom.

Unit cell a=5.4251 b=5.4251 c=5.4251 alpha=60.00 beta=60.00 gamma=60.00
Positions (direct):
Al  0.3742  0.3742  0.8773
Se  0.7500  0.7500  0.7500
Al  0.8773  0.3742  0.3742
Al  0.3742  0.8773  0.3742
Al  0.3742  0.3742  0.3742
Ag  0.0000  0.0000  0.0000

---

No. 3
First-principles (GGA-PBE) data for an optimized crystal structure of AlAg3Se, as listed in the Alexandria database.

Properties
As for the space group: No. 221. Its uncorrected formation energy is 0.51 eV per atom. The total energy comes out at -2.6480 eV per atom.

Unit cell a=5.0850 b=5.0850 c=5.0850 alpha=90.00 beta=90.00 gamma=90.00
Positions (direct):
Al  0.5000  0.5000  0.5000
Ag  0.0000  0.5000  0.0000
Ag  0.0000  0.0000  0.5000
Ag  0.5000  0.0000  0.0000
Se  0.0000  0.0000  0.0000

---

No. 4
First-principles (GGA-PBE) data for an optimized crystal structure of Al4AgSe7, as listed in the Alexandria database.

Properties
As for the space group: No. 31. Its uncorrected formation energy is -0.66 eV per atom. The total energy comes out at -4.1780 eV per atom.

Unit cell a=6.5743 b=7.0333 c=14.9221 alpha=90.00 beta=90.00 gamma=90.00
Positions (direct):
Se  0.9306  0.6656  0.1111
Se  0.4260  0.8426  0.2589
Al  0.5697  0.6737  0.1281
Se  0.9002  0.1958  0.5000
Se  0.4306  0.3344  0.6111
Se  0.9260  0.1574  0.2411
Ag  0.4795  0.1620  0.0000
Se  0.9306  0.6656  0.8889
Ag  0.9795  0.8380  0.5000
Al  0.5512  0.1706  0.7411
Se  0.9100  0.6377  0.3586
Se  0.4306  0.3344  0.3889
Se  0.4100  0.3623  0.1414
Se  0.4260  0.8426  0.7411
Al  0.0697  0.3263  0.6281
Se  0.9260  0.1574  0.7589
Se  0.4100  0.3623  0.8586
Al  0.0512  0.8294  0.2411
Se  0.4002  0.8042  0.0000
Al  0.5697  0.6737  0.8719
Al  0.0697  0.3263  0.3719
Se  0.9100  0.6377  0.6414
Al  0.0512  0.8294  0.7589
Al  0.5512  0.1706  0.2589

---

No. 5
First-principles (GGA-PBE) data for an optimized crystal structure of Al2AgSe, as listed in the Alexandria database.

Properties
As for the space group: No. 119. Its uncorrected formation energy is 0.09 eV per atom. The total energy comes out at -3.3607 eV per atom.

Unit cell a=6.3259 b=6.3259 c=6.3259 alpha=145.45 beta=145.45 gamma=49.66
Positions (direct):
Ag  0.7500  0.2500  0.5000
Al  0.0000  0.0000  0.0000
Al  0.2500  0.7500  0.5000
Se  0.5000  0.5000  0.0000

---

No. 6
First-principles (GGA-PBE) data for an optimized crystal structure of AlAgSe2, as listed in the Alexandria database.

Properties
As for the space group: No. 216. Its uncorrected formation energy is 0.28 eV per atom. The total energy comes out at -3.1157 eV per atom.

Unit cell a=4.8211 b=4.8211 c=4.8211 alpha=60.00 beta=60.00 gamma=60.00
Positions (direct):
Ag  0.5000  0.5000  0.5000
Al  0.2500  0.2500  0.2500
Se  0.7500  0.7500  0.7500
Se  0.0000  0.0000  0.0000

---

No. 7
First-principles (GGA-PBE) data for an optimized crystal structure of AlAgSe2, as listed in the Alexandria database.

Properties
As for the space group: No. 10. Its uncorrected formation energy is -0.24 eV per atom. The total energy comes out at -3.6353 eV per atom.

Unit cell a=3.4855 b=4.5182 c=7.5198 alpha=60.39 beta=90.00 gamma=90.00
Positions (direct):
Al  0.5000  0.7500  0.7500
Se  0.0000  0.7675  0.9774
Se  0.0000  0.7325  0.5226
Ag  0.5000  0.2500  0.2500

---

No. 8
First-principles (GGA-PBE) data for an optimized crystal structure of Al2AgSe, as listed in the Alexandria database.

Properties
As for the space group: No. 47. Its uncorrected formation energy is 0.15 eV per atom. The total energy comes out at -3.3013 eV per atom.

Unit cell a=3.8638 b=4.1734 c=4.8602 alpha=90.00 beta=90.00 gamma=90.00
Positions (direct):
Se  0.5000  0.0000  0.5000
Ag  0.0000  0.5000  0.5000
Al  0.5000  0.5000  0.0000
Al  0.0000  0.0000  0.0000

---

No. 9
First-principles (GGA-PBE) data for an optimized crystal structure of Al2AgSe, as listed in the Alexandria database.

Properties
As for the space group: No. 8. Its uncorrected formation energy is 0.03 eV per atom. The total energy comes out at -3.4235 eV per atom.

Unit cell a=5.3255 b=5.3255 c=5.7329 alpha=66.82 beta=66.82 gamma=33.47
Positions (direct):
Ag  0.7008  0.7008  0.7828
Al  0.9811  0.9811  0.1398
Al  0.2671  0.2671  0.1182
Se  0.5510  0.5510  0.4592

---

No. 10
First-principles (GGA-PBE) data for an optimized crystal structure of AlAgSe2, as listed in the Alexandria database.

Properties
As for the space group: No. 12. Its uncorrected formation energy is -0.11 eV per atom. The total energy comes out at -3.5008 eV per atom.

Unit cell a=6.8109 b=5.7741 c=4.5655 alpha=58.67 beta=102.20 gamma=132.32
Positions (direct):
Se  0.0000  0.0000  0.0000
Se  0.5000  0.0000  0.5000
Ag  0.0000  0.5000  0.5000
Al  0.5000  0.5000  0.0000

---

No. 11
First-principles (GGA-PBE) data for an optimized crystal structure of AlAgSe, as listed in the Alexandria database.

Properties
As for the space group: No. 129. Its uncorrected formation energy is 0.08 eV per atom. The total energy comes out at -3.2770 eV per atom.

Unit cell a=4.6345 b=4.6345 c=5.9610 alpha=90.00 beta=90.00 gamma=90.00
Positions (direct):
Ag  0.5000  0.0000  0.2006
Se  0.0000  0.5000  0.2575
Al  0.0000  0.0000  0.5000
Ag  0.0000  0.5000  0.7994
Se  0.5000  0.0000  0.7425
Al  0.5000  0.5000  0.5000

---

No. 12
First-principles (GGA-PBE) data for an optimized crystal structure of AlAgSe2, as listed in the Alexandria database.

Properties
As for the space group: No. 47. Its uncorrected formation energy is -0.06 eV per atom. The total energy comes out at -3.4473 eV per atom.

Unit cell a=3.7419 b=7.2375 c=3.6288 alpha=90.00 beta=90.00 gamma=90.00
Positions (direct):
Se  0.5000  0.5000  0.0000
Al  0.0000  0.5000  0.5000
Se  0.0000  0.0000  0.0000
Ag  0.5000  0.0000  0.5000

---

No. 13
First-principles (GGA-PBE) data for an optimized crystal structure of AlAgSe2, as listed in the Alexandria database.

Properties
As for the space group: No. 8. Its uncorrected formation energy is -0.35 eV per atom. The total energy comes out at -3.7366 eV per atom.

Unit cell a=6.5571 b=6.5571 c=4.6012 alpha=79.93 beta=79.93 gamma=31.36
Positions (direct):
Al  0.3096  0.3096  0.4284
Se  0.9193  0.9193  0.1450
Se  0.6899  0.6899  0.6787
Ag  0.5813  0.5813  0.2479

---

No. 14
First-principles (GGA-PBE) data for an optimized crystal structure of AlAgSe2, as listed in the Alexandria database.

Properties
As for the space group: No. 123. Its uncorrected formation energy is 0.10 eV per atom. The total energy comes out at -3.2887 eV per atom.

Unit cell a=4.8365 b=4.8365 c=3.3563 alpha=90.00 beta=90.00 gamma=89.96
Positions (direct):
Se  0.0000  0.0000  0.0000
Se  0.5000  0.5000  0.0000
Ag  0.5000  0.0000  0.5000
Al  0.0000  0.5000  0.5000

---

No. 15
First-principles (GGA-PBE) data for an optimized crystal structure of AlAgSe, as listed in the Alexandria database.

Properties
As for the space group: No. 156. Its uncorrected formation energy is -0.28 eV per atom. The total energy comes out at -3.6353 eV per atom.

Unit cell a=3.5751 b=3.5751 c=5.5730 alpha=90.00 beta=90.00 gamma=120.00
Positions (direct):
Se  0.6667  0.3333  0.6124
Ag  0.0000  0.0000  0.0286
Al  0.3333  0.6667  0.3591

---

No. 16
First-principles (GGA-PBE) data for an optimized crystal structure of AlAgSe2, as listed in the Alexandria database.

Properties
As for the space group: No. 115. Its uncorrected formation energy is -0.58 eV per atom. The total energy comes out at -3.9753 eV per atom.

Unit cell a=3.9871 b=3.9871 c=6.3634 alpha=90.00 beta=90.00 gamma=90.00
Positions (direct):
Ag  0.0000  0.0000  0.0000
Al  0.5000  0.5000  0.5000
Se  0.0000  0.5000  0.2787
Se  0.5000  0.0000  0.7213

---

No. 17
First-principles (GGA-PBE) data for an optimized crystal structure of Al5AgSe8, as listed in the Alexandria database.

Properties
As for the space group: No. 216. Its uncorrected formation energy is -0.74 eV per atom. The total energy comes out at -4.2677 eV per atom.

Unit cell a=7.6339 b=7.6339 c=7.6339 alpha=60.00 beta=60.00 gamma=60.00
Positions (direct):
Al  0.6178  0.6178  0.6178
Se  0.8660  0.8660  0.8660
Se  0.4020  0.8660  0.8660
Al  0.6178  0.1465  0.6178
Ag  0.2500  0.2500  0.2500
Se  0.3860  0.3860  0.8421
Se  0.3860  0.3860  0.3860
Se  0.8660  0.8660  0.4020
Al  0.6178  0.6178  0.1465
Se  0.3860  0.8421  0.3860
Se  0.8421  0.3860  0.3860
Se  0.8660  0.4020  0.8660
Al  0.0000  0.0000  0.0000
Al  0.1465  0.6178  0.6178

---

No. 18
First-principles (GGA-PBE) data for an optimized crystal structure of Al2AgSe, as listed in the Alexandria database.

Properties
As for the space group: No. 65. Its uncorrected formation energy is 0.06 eV per atom. The total energy comes out at -3.3960 eV per atom.

Unit cell a=3.3626 b=3.3626 c=7.8399 alpha=90.00 beta=90.00 gamma=116.44
Positions (direct):
Al  0.0000  0.0000  0.4913
Ag  0.5000  0.5000  0.7500
Al  0.0000  0.0000  0.0087
Se  0.5000  0.5000  0.2500

---

No. 19
First-principles (GGA-PBE) data for an optimized crystal structure of AlAgSe, as listed in the Alexandria database.

Properties
As for the space group: No. 156. Its uncorrected formation energy is 0.13 eV per atom. The total energy comes out at -3.2344 eV per atom.

Unit cell a=5.0228 b=5.0228 c=2.7535 alpha=90.00 beta=90.00 gamma=120.00
Positions (direct):
Se  0.3333  0.6667  0.6644
Al  0.6667  0.3333  0.6625
Ag  0.0000  0.0000  0.6730

---

No. 20
First-principles (GGA-PBE) data for an optimized crystal structure of AlAgSe2, as listed in the Alexandria database.

Properties
As for the space group: No. 35. Its uncorrected formation energy is 0.10 eV per atom. The total energy comes out at -3.2921 eV per atom.

Unit cell a=3.0072 b=3.0072 c=9.6912 alpha=90.00 beta=90.00 gamma=108.04
Positions (direct):
Al  0.5000  0.5000  0.7425
Se  0.0000  0.0000  0.9325
Se  0.5000  0.5000  0.2916
Ag  0.0000  0.0000  0.5334

---

No. 21
First-principles (GGA-PBE) data for an optimized crystal structure of AlAgSe, as listed in the Alexandria database.

Properties
As for the space group: No. 107. Its uncorrected formation energy is -0.01 eV per atom. The total energy comes out at -3.3719 eV per atom.

Unit cell a=6.4278 b=6.4279 c=3.3027 alpha=75.11 beta=75.12 gamma=29.77
Positions (direct):
Se  0.7181  0.7181  0.2819
Al  0.3168  0.3168  0.6832
Ag  0.9652  0.9652  0.0348

---

No. 22
First-principles (GGA-PBE) data for an optimized crystal structure of AlAg2Se2, as listed in the Alexandria database.

Properties
As for the space group: No. 139. Its uncorrected formation energy is 0.38 eV per atom. The total energy comes out at -2.8995 eV per atom.

Unit cell a=6.4820 b=6.4820 c=6.4820 alpha=138.75 beta=138.75 gamma=59.76
Positions (direct):
Al  0.0000  0.0000  0.0000
Se  0.2500  0.7500  0.5000
Ag  0.6212  0.6212  0.0000
Se  0.7500  0.2500  0.5000
Ag  0.3788  0.3788  0.0000

---

No. 23
First-principles (GGA-PBE) data for an optimized crystal structure of Al2AgSe, as listed in the Alexandria database.

Properties
As for the space group: No. 216. Its uncorrected formation energy is 0.26 eV per atom. The total energy comes out at -3.1987 eV per atom.

Unit cell a=4.7856 b=4.7856 c=4.7856 alpha=60.00 beta=60.00 gamma=60.00
Positions (direct):
Se  0.2500  0.2500  0.2500
Ag  0.5000  0.5000  0.5000
Al  0.7500  0.7500  0.7500
Al  0.0000  0.0000  0.0000

---

No. 24
First-principles (GGA-PBE) data for an optimized crystal structure of AlAgSe2, as listed in the Alexandria database.

Properties
As for the space group: No. 99. Its uncorrected formation energy is -0.36 eV per atom. The total energy comes out at -3.7524 eV per atom.

Unit cell a=3.6687 b=3.6687 c=6.6540 alpha=90.00 beta=90.00 gamma=90.00
Positions (direct):
Al  0.5000  0.5000  0.8043
Ag  0.0000  0.0000  0.3367
Se  0.0000  0.0000  0.9171
Se  0.5000  0.5000  0.4419

---

No. 25
First-principles (GGA-PBE) data for an optimized crystal structure of AlAgSe2, as listed in the Alexandria database.

Properties
As for the space group: No. 166. Its uncorrected formation energy is 0.15 eV per atom. The total energy comes out at -3.2437 eV per atom.

Unit cell a=12.4112 b=12.4112 c=12.4112 alpha=13.23 beta=13.23 gamma=13.23
Positions (direct):
Se  0.0709  0.0709  0.0709
Al  0.0000  0.0000  0.0000
Se  0.9291  0.9291  0.9291
Ag  0.5000  0.5000  0.5000

---

No. 26
First-principles (GGA-PBE) data for an optimized crystal structure of AlAgSe2, as listed in the Alexandria database.

Properties
As for the space group: No. 160. Its uncorrected formation energy is -0.03 eV per atom. The total energy comes out at -3.4202 eV per atom.

Unit cell a=10.0668 b=10.0668 c=10.0668 alpha=18.67 beta=18.67 gamma=18.67
Positions (direct):
Se  0.0313  0.0313  0.0313
Al  0.7535  0.7535  0.7535
Se  0.2273  0.2273  0.2273
Ag  0.4879  0.4879  0.4879

---

No. 27
First-principles (GGA-PBE) data for an optimized crystal structure of AlAg8Se6, as listed in the Alexandria database.

Properties
As for the space group: No. 31. Its uncorrected formation energy is -0.20 eV per atom. The total energy comes out at -3.3675 eV per atom.

Unit cell a=7.8405 b=8.1031 c=10.7811 alpha=90.00 beta=90.00 gamma=90.00
Positions (direct):
Ag  0.1582  0.2814  0.3504
Ag  0.5377  0.3043  0.2333
Se  0.7503  0.7531  0.6022
Ag  0.4623  0.8043  0.7333
Ag  0.9019  0.2037  0.1319
Se  0.0128  0.5000  0.8427
Se  0.9872  0.0000  0.3427
Se  0.8146  0.5000  0.2533
Se  0.5054  0.0000  0.3431
Ag  0.1582  0.7186  0.3504
Al  0.7429  0.0000  0.4810
Ag  0.0981  0.2963  0.6319
Ag  0.7160  0.5000  0.0213
Ag  0.8418  0.2186  0.8504
Ag  0.0981  0.7037  0.6319
Se  0.1854  0.0000  0.7533
Ag  0.3739  0.0000  0.9644
Ag  0.9019  0.7963  0.1319
Se  0.7116  0.0000  0.9948
Se  0.2497  0.2531  0.1022
Ag  0.6261  0.5000  0.4644
Ag  0.5377  0.6957  0.2333
Al  0.2571  0.5000  0.9810
Se  0.4946  0.5000  0.8431
Se  0.2497  0.7469  0.1022
Se  0.2884  0.5000  0.4948
Se  0.7503  0.2469  0.6022
Ag  0.2840  0.0000  0.5213
Ag  0.8418  0.7814  0.8504
Ag  0.4623  0.1957  0.7333